(1)
VASP calculation (PBE-GGA) on a geometry-optimized CsSrGaBi2 structure.

The structure belongs to space group P4/mmm (No. 123); the cell edges are 6.407, 6.407 and 6.347 Å and the angles 90.00°, 90.00° and 90.00°. The inequivalent atoms are Cs at (0.000, 0.000, 0.000), Sr at (0.000, 0.000, 0.500), Ga at (0.500, 0.500, 0.500) and Bi at (0.000, 0.500, 0.000).

As for the formation energy: 0.945 eV/atom. For the spin magnetization, the calculation gives 0.00 μB/cell.

=====

(2)
VASP calculation (PBE-GGA) on a geometry-optimized CsTaGa2Bi structure.

The structure belongs to space group P4/mmm (No. 123); the cell edges are 5.582, 5.582 and 6.395 Å and the angles 90.00°, 90.00° and 90.00°. The inequivalent atoms are Cs at (0.000, 0.000, 0.000), Ta at (0.500, 0.500, 0.500), Ga at (0.000, 0.500, 0.000) and Bi at (0.000, 0.000, 0.500).

As for the formation energy: 2.181 eV/atom. For the spin magnetization, the calculation gives 3.21 μB/cell.

=====

(3)
VASP calculation (PBE-GGA) on a geometry-optimized Cs2GaBiTe4 structure.

The structure belongs to space group Fddd (No. 70, origin choice 2); the cell edges are 7.103, 15.953 and 27.145 Å and the angles 90.00°, 90.00° and 90.00°. The inequivalent atoms are Cs at (0.125, 0.125, 0.308), Ga at (0.125, 0.125, 0.625), Bi at (0.125, 0.125, 0.125) and Te at (0.089, 0.276, 0.817).

For the spin magnetization, the calculation gives 0.00 μB/cell. The value obtained for the raw formation energy is -0.615 eV per atom.

=====

Which total DFT energy (no corrections) belongs to each record? In order, -1.72, -2.35, -3.26 eV/atom.